1.
First-principles (PBE) data for a relaxed Nd2Sm6HoTm crystal, as listed in Alexandria.

Lattice parameters (Å, degrees): 9.1498 15.2789 9.7652 90.00 98.46 90.00
With the nearest neighbours (Å) after each atom.
Space group C2/c (No. 15)
Unique sites:
Nd (0.2474, 0.0513, 0.0422)  5 Sm 3.27-3.52, 2 Ho 3.41-3.43, 1 Tm 3.59
Sm (0.0615, 0.1864, 0.4442)  7 Sm 3.44-3.79, 1 Nd 3.52, 1 Ho 3.68
Sm (0.1040, 0.3948, 0.6193)  3 Nd 3.27-3.48, 4 Sm 3.30-3.61, 2 Tm 3.46-3.60
Sm (0.2044, 0.2212, 0.8106)  3 Sm 3.30-3.66, 1 Nd 3.43, 1 Tm 3.47, 1 Ho 3.61
Ho (0.0000, 0.0196, 0.7500)  4 Nd 3.41-3.43, 4 Sm 3.61-3.68
Tm (0.0000, 0.4083, 0.2500)  6 Sm 3.46-3.60, 2 Nd 3.59

## Properties
Total moment: 0.000 μB/cell
Energy of formation: 0.116 eV/atom
Total energy: -0.336 Ry per atom

***

2.
First-principles (PBE) data for a relaxed AgHg2 crystal, as listed in Alexandria.

Lattice parameters (Å, degrees): 3.7422 14.9367 4.7265 90.00 90.00 90.00
With the nearest neighbours (Å) after each atom.
Space group Cmcm (No. 63)
Unique sites:
Ag (0.0000, 0.1019, 0.2500)  10 Hg 3.07-3.10
Hg (0.0000, 0.2335, 0.7500)  6 Hg 3.05-3.15, 4 Ag 3.07-3.09
Hg (0.0000, 0.4363, 0.2500)  4 Hg 3.03-3.15, 6 Ag 3.07-3.10

## Properties
Total moment: 0.000 μB/cell
Energy of formation: 0.111 eV/atom
Total energy: -0.076 Ry per atom

***

3.
First-principles (PBE) data for a relaxed ErSnIr4 crystal, as listed in Alexandria.

Lattice parameters (Å, degrees): 7.5322 7.5322 7.5322 90.00 90.00 90.00
With the nearest neighbours (Å) after each atom.
Space group F-43m (No. 216)
Unique sites:
Er (0.0000, 0.0000, 0.0000)  12 Ir 3.12, 4 Sn 3.26
Sn (0.2500, 0.2500, 0.7500)  12 Ir 3.12, 4 Er 3.26
Ir (0.1246, 0.1246, 0.3754)  6 Ir 2.66-2.67

## Properties
Total moment: 0.002 μB/cell
Energy of formation: -0.347 eV/atom
Total energy: -0.565 Ry per atom

***

Please write out number 1 again, unchanged.
First-principles (PBE) data for a relaxed Nd2Sm6HoTm crystal, as listed in Alexandria.

Lattice parameters (Å, degrees): 9.1498 15.2789 9.7652 90.00 98.46 90.00
With the nearest neighbours (Å) after each atom.
Space group C2/c (No. 15)
Unique sites:
Nd (0.2474, 0.0513, 0.0422)  5 Sm 3.27-3.52, 2 Ho 3.41-3.43, 1 Tm 3.59
Sm (0.0615, 0.1864, 0.4442)  7 Sm 3.44-3.79, 1 Nd 3.52, 1 Ho 3.68
Sm (0.1040, 0.3948, 0.6193)  3 Nd 3.27-3.48, 4 Sm 3.30-3.61, 2 Tm 3.46-3.60
Sm (0.2044, 0.2212, 0.8106)  3 Sm 3.30-3.66, 1 Nd 3.43, 1 Tm 3.47, 1 Ho 3.61
Ho (0.0000, 0.0196, 0.7500)  4 Nd 3.41-3.43, 4 Sm 3.61-3.68
Tm (0.0000, 0.4083, 0.2500)  6 Sm 3.46-3.60, 2 Nd 3.59

## Properties
Total moment: 0.000 μB/cell
Energy of formation: 0.116 eV/atom
Total energy: -0.336 Ry per atom

***

- Which of these has the highest total energy?
  AgHg2